--- i ---
The following is a DFT calculation (PBE-GGA) of crystalline AlZnAu3 at its relaxed geometry. Values from VASP.

Total magnetic moment = 0.0 Bohr magnetons per cell
Calculated volume = 352.4 Å³/cell

Quantum ESPRESSO input file:
```
&SYSTEM
  ibrav = 0, nat = 20, ntyp = 3
/
ATOMIC_SPECIES
Al 26.98 Al.upf
Zn 65.41 Zn.upf
Au 196.97 Au.upf
CELL_PARAMETERS angstrom
-1.489 6.384 -0.073
-5.683 -1.377 -4.493
-5.199 -1.155 5.101
ATOMIC_POSITIONS crystal
Al 0.920 0.650 0.850
Al 0.580 0.150 0.350
Al 0.080 0.350 0.150
Al 0.420 0.850 0.650
Zn 0.250 0.815 0.185
Zn 0.750 0.185 0.815
Zn 0.250 0.314 0.686
Zn 0.750 0.686 0.314
Au 0.611 0.838 0.974
Au 0.889 0.026 0.162
Au 0.389 0.162 0.026
Au 0.111 0.974 0.838
Au 0.706 0.427 0.073
Au 0.794 0.927 0.573
Au 0.294 0.573 0.927
Au 0.206 0.073 0.427
Au 0.611 0.526 0.662
Au 0.889 0.338 0.474
Au 0.389 0.474 0.338
Au 0.111 0.662 0.526
```

--- ii ---
The following is a DFT calculation (PBE-GGA) of crystalline AlZnAu3 at its relaxed geometry. Values from VASP.

Total magnetic moment = 0.0 Bohr magnetons per cell
Calculated volume = 114.8 Å³/cell

Quantum ESPRESSO input file:
```
&SYSTEM
  ibrav = 0, nat = 5, ntyp = 3
/
ATOMIC_SPECIES
Zn 65.41 Zn.upf
Au 196.97 Au.upf
Al 26.98 Al.upf
CELL_PARAMETERS angstrom
-4.172 -0.222 -2.484
-1.610 -3.457 3.014
-1.905 3.409 2.893
ATOMIC_POSITIONS crystal
Zn 0.500 0.500 0.500
Au 0.000 0.500 0.000
Au 0.000 0.000 0.500
Au 0.500 0.000 0.000
Al 0.000 0.000 0.000
```

The most stable arrangement is i, and the next structure is 55.2 kJ/mol of atoms less stable.

--- i ---
The following is a DFT calculation (PBE-GGA) of crystalline Al2ZnAu4 at its relaxed geometry. Values from VASP.

Total magnetic moment = 0.0 Bohr magnetons per cell
Calculated volume = 258.4 Å³/cell

Quantum ESPRESSO input file:
```
&SYSTEM
  ibrav = 0, nat = 14, ntyp = 3
/
ATOMIC_SPECIES
Zn 65.41 Zn.upf
Au 196.97 Au.upf
Al 26.98 Al.upf
CELL_PARAMETERS angstrom
4.463 0.000 0.000
0.000 5.511 0.000
0.000 0.000 10.505
ATOMIC_POSITIONS crystal
Zn 0.000 0.000 0.500
Zn 0.000 0.500 0.000
Au 0.000 0.636 0.742
Au 0.000 0.364 0.258
Au 0.000 0.136 0.758
Au 0.000 0.864 0.242
Au 0.500 0.756 0.558
Au 0.500 0.244 0.442
Au 0.500 0.744 0.058
Au 0.500 0.256 0.942
Al 0.500 0.846 0.819
Al 0.500 0.154 0.181
Al 0.500 0.346 0.681
Al 0.500 0.654 0.319
```

--- ii ---
The following is a DFT calculation (PBE-GGA) of crystalline Al2ZnAu4 at its relaxed geometry. Values from VASP.

Total magnetic moment = 0.0 Bohr magnetons per cell
Calculated volume = 261.6 Å³/cell

Quantum ESPRESSO input file:
```
&SYSTEM
  ibrav = 0, nat = 14, ntyp = 3
/
ATOMIC_SPECIES
Al 26.98 Al.upf
Zn 65.41 Zn.upf
Au 196.97 Au.upf
CELL_PARAMETERS angstrom
-3.670 1.474 5.113
4.800 -3.647 2.402
2.441 6.704 -2.558
ATOMIC_POSITIONS crystal
Al 0.625 0.375 0.750
Al 0.626 0.875 0.251
Al 0.625 0.375 0.250
Al 0.125 0.375 0.749
Zn 0.268 0.767 0.500
Zn 0.982 0.982 0.000
Au 0.986 0.267 0.349
Au 0.264 0.483 0.150
Au 0.918 0.637 0.651
Au 0.752 0.011 0.658
Au 0.352 0.094 0.343
Au 0.333 0.113 0.849
Au 0.498 0.739 0.842
Au 0.897 0.655 0.157
```

The most stable arrangement is i, and the next structure is 6.0 kJ/mol of atoms less stable.

--- i ---
The following is a DFT calculation (PBE-GGA) of crystalline Al2Zn5Au12 at its relaxed geometry. Values from VASP.

Total magnetic moment = 0.0 Bohr magnetons per cell
Calculated volume = 331.1 Å³/cell

Quantum ESPRESSO input file:
```
&SYSTEM
  ibrav = 0, nat = 19, ntyp = 3
/
ATOMIC_SPECIES
Al 26.98 Al.upf
Zn 65.41 Zn.upf
Au 196.97 Au.upf
CELL_PARAMETERS angstrom
-5.241 1.147 3.828
-4.582 -1.066 -5.954
2.531 -6.053 3.970
ATOMIC_POSITIONS crystal
Al 0.000 0.787 0.000
Al 0.000 0.213 0.000
Zn 0.541 0.240 0.479
Zn 0.068 0.327 0.654
Zn 0.500 0.000 0.000
Zn 0.932 0.673 0.346
Zn 0.459 0.760 0.521
Au 0.147 0.877 0.753
Au 0.798 0.028 0.623
Au 0.798 0.595 0.623
Au 0.413 0.192 0.786
Au 0.413 0.594 0.786
Au 0.782 0.458 0.917
Au 0.218 0.542 0.083
Au 0.587 0.808 0.214
Au 0.587 0.406 0.214
Au 0.202 0.972 0.377
Au 0.202 0.405 0.377
Au 0.853 0.123 0.247
```

--- ii ---
The following is a DFT calculation (PBE-GGA) of crystalline Al2Zn5Au12 at its relaxed geometry. Values from VASP.

Total magnetic moment = 0.0 Bohr magnetons per cell
Calculated volume = 364.0 Å³/cell

Quantum ESPRESSO input file:
```
&SYSTEM
  ibrav = 0, nat = 19, ntyp = 3
/
ATOMIC_SPECIES
Al 26.98 Al.upf
Zn 65.41 Zn.upf
Au 196.97 Au.upf
CELL_PARAMETERS angstrom
5.662 0.000 0.000
-2.831 7.862 -0.036
0.000 -2.851 8.189
ATOMIC_POSITIONS crystal
Al 0.747 0.000 0.000
Al 0.253 0.000 0.000
Zn 0.294 0.588 0.623
Zn 0.347 0.694 0.156
Zn 0.000 0.000 0.500
Zn 0.653 0.306 0.844
Zn 0.706 0.412 0.377
Au 0.071 0.143 0.259
Au 0.056 0.618 0.889
Au 0.562 0.618 0.889
Au 0.108 0.708 0.421
Au 0.600 0.708 0.421
Au 0.479 0.957 0.734
Au 0.521 0.043 0.266
Au 0.892 0.292 0.579
Au 0.400 0.292 0.579
Au 0.944 0.382 0.111
Au 0.438 0.382 0.111
Au 0.929 0.857 0.741
```

The most stable arrangement is i, and the next structure is 8.8 kJ/mol of atoms less stable.

--- i ---
The following is a DFT calculation (PBE-GGA) of crystalline AlZn4Au5 at its relaxed geometry. Values from VASP.

Total magnetic moment = 0.0 Bohr magnetons per cell
Calculated volume = 162.8 Å³/cell

Quantum ESPRESSO input file:
```
&SYSTEM
  ibrav = 0, nat = 10, ntyp = 3
/
ATOMIC_SPECIES
Al 26.98 Al.upf
Zn 65.41 Zn.upf
Au 196.97 Au.upf
CELL_PARAMETERS angstrom
3.178 0.000 0.000
0.000 3.178 0.000
0.000 0.000 16.119
ATOMIC_POSITIONS crystal
Al 0.000 0.000 0.000
Zn 0.000 0.000 0.203
Zn 0.000 0.000 0.401
Zn 0.000 0.000 0.599
Zn 0.000 0.000 0.797
Au 0.500 0.500 0.097
Au 0.500 0.500 0.301
Au 0.500 0.500 0.500
Au 0.500 0.500 0.699
Au 0.500 0.500 0.903
```

--- ii ---
The following is a DFT calculation (PBE-GGA) of crystalline AlZn4Au5 at its relaxed geometry. Values from VASP.

Total magnetic moment = 0.0 Bohr magnetons per cell
Calculated volume = 180.6 Å³/cell

Quantum ESPRESSO input file:
```
&SYSTEM
  ibrav = 0, nat = 10, ntyp = 3
/
ATOMIC_SPECIES
Al 26.98 Al.upf
Zn 65.41 Zn.upf
Au 196.97 Au.upf
CELL_PARAMETERS angstrom
5.343 0.000 0.000
2.671 5.813 0.000
2.671 0.000 5.813
ATOMIC_POSITIONS crystal
Al 0.164 0.000 0.000
Zn 0.383 0.391 0.770
Zn 0.774 0.770 0.609
Zn 0.153 0.230 0.391
Zn 0.543 0.609 0.230
Au 0.864 0.374 0.831
Au 0.238 0.831 0.626
Au 0.695 0.169 0.374
Au 0.069 0.626 0.169
Au 0.627 0.000 0.000
```

The most stable arrangement is i, and the next structure is 8.7 kJ/mol of atoms less stable.